(1)
Density functional theory data (PBEsol) for a geometry-optimized ScCd2Co structure.

Output
- energy of formation from the pure elements (eV per formula unit) = -0.28
- Fermi-level density of states (states/eV/cell) = 1.8
- calculated density (g/cm³) = 8.0

```
ScCd2Co
1.0
-1.9671 2.0309 4.2595
1.9671 -2.0309 4.2595
1.9671 2.0309 -4.2595
Sc Cd Co
1 2 1
direct
0.0000 0.0000 0.0000
0.2533 0.7533 0.5000
0.7467 0.2467 0.5000
0.5000 0.5000 0.0000
```

***

(2)
Density functional theory data (PBEsol) for a geometry-optimized ScCd2Co structure.

Output
- energy of formation from the pure elements (eV per formula unit) = 0.94
- Fermi-level density of states (states/eV/cell) = 5.6
- calculated density (g/cm³) = 7.5

```
ScCd2Co
1.0
1.5017 0.8670 9.2615
-1.5017 0.8670 9.2615
0.0000 -1.7341 9.2615
Sc Cd Co
1 2 1
direct
0.0000 0.0000 0.0000
0.2408 0.2408 0.2408
0.7592 0.7592 0.7592
0.5000 0.5000 0.5000
```